# 1
TmCuPt PBE relaxed; total energy = -5.606 eV per atom; formation energy from the elements = -0.74 eV per atom; SG = No. 107
1.0
3.556 0.000 0.000
0.000 3.556 0.000
-1.778 -1.778 4.302
Tm Pt Cu
1 1 1
Direct
0.945 0.945 0.891 Tm
0.284 0.284 0.568 Pt
0.621 0.621 0.241 Cu

***

# 2
Tm3Cu2Pt PBE relaxed; total energy = -5.241 eV per atom; formation energy from the elements = -0.63 eV per atom; SG = No. 123
1.0
-1.163 0.664 3.147
1.216 -3.007 1.084
9.040 4.517 2.389
Tm Cu Pt
3 2 1
Direct
0.000 0.000 0.000 Tm
0.000 0.000 0.666 Tm
0.000 0.000 0.334 Tm
0.500 0.500 0.836 Cu
0.500 0.500 0.164 Cu
0.500 0.500 0.500 Pt

***

Number 1: total moment 0.00 μB per cell, volume 54 Å³/cell, D(E_F) 1.71 states/eV/cell. Number 2: total moment 0.00 μB per cell, volume 121 Å³/cell, D(E_F) 2.29 states/eV/cell.